Record 1
Ta2ZnRe | PBE-GGA | relaxed

## Properties
Crystal system   trigonal
DOS at the Fermi energy   0.898 states/eV/atom
Total energy   -9.1865 eV/atom

a = 2.9645 Å, b = 2.9645 Å, c = 26.7978 Å
α = 90.00°, β = 90.00°, γ = 120.00°
Space group R-3m (No. 166, hexagonal axes)
One atom of each set of equivalent atoms:
Ta 0.0000 0.0000 0.2472 [6 per cell]
Zn 0.0000 0.0000 0.0000 [3 per cell]
Re 0.0000 0.0000 0.5000 [3 per cell]

=====

Record 2
Ta2ZnRe | PBE-GGA | relaxed

## Properties
Crystal system   trigonal
DOS at the Fermi energy   1.443 states/eV/atom
Total energy   -9.1056 eV/atom

a = 2.8185 Å, b = 2.8185 Å, c = 29.1537 Å
α = 90.00°, β = 90.00°, γ = 120.00°
Space group R3m (No. 160, hexagonal axes)
One atom of each set of equivalent atoms:
Ta 0.0000 0.0000 0.0000 [3 per cell]
Ta 0.0000 0.0000 0.2431 [3 per cell]
Zn 0.0000 0.0000 0.7499 [3 per cell]
Re 0.0000 0.0000 0.4929 [3 per cell]

=====

Record 3
Ta2ZnRe | PBE-GGA | relaxed

## Properties
Crystal system   orthorhombic
DOS at the Fermi energy   0.742 states/eV/atom
Total energy   -9.3717 eV/atom

a = 3.259 Å, b = 4.479 Å, c = 9.099 Å
α = 90.00°, β = 90.00°, γ = 90.00°
Space group Imm2 (No. 44)
One atom of each set of equivalent atoms:
Ta 0.000 0.000 0.000 [2 per cell]
Ta 0.000 0.500 0.241 [2 per cell]
Zn 0.000 0.500 0.765 [2 per cell]
Re 0.000 0.000 0.510 [2 per cell]

=====

Record 4
Ta2ZnRe2 | PBE-GGA | relaxed

## Properties
Crystal system   tetragonal
DOS at the Fermi energy   0.797 states/eV/atom
Total energy   -9.7020 eV/atom

a = 7.554 Å, b = 7.554 Å, c = 3.089 Å
α = 90.00°, β = 90.00°, γ = 90.00°
Space group P4/mbm (No. 127)
One atom of each set of equivalent atoms:
Ta 0.153 0.347 0.000 [4 per cell]
Zn 0.000 0.000 0.500 [2 per cell]
Re 0.145 0.645 0.500 [4 per cell]

=====

Record 5
Ta2ZnRe | PBE-GGA | relaxed

## Properties
Crystal system   tetragonal
DOS at the Fermi energy   0.429 states/eV/atom
Total energy   -9.3640 eV/atom

a = 3.311 Å, b = 3.311 Å, c = 5.962 Å
α = 90.00°, β = 90.00°, γ = 90.00°
Space group P4mm (No. 99)
One atom of each set of equivalent atoms:
Ta 0.000 0.000 0.000 [1 per cell]
Ta 0.500 0.500 0.283 [1 per cell]
Zn 0.000 0.000 0.522 [1 per cell]
Re 0.500 0.500 0.747 [1 per cell]

=====

Record 6
Ta2ZnRe | PBE-GGA | relaxed

## Properties
Crystal system   monoclinic
DOS at the Fermi energy   0.700 states/eV/atom
Total energy   -9.3710 eV/atom

a = 2.783 Å, b = 4.586 Å, c = 5.226 Å
α = 90.00°, β = 98.05°, γ = 90.00°
Space group Pm (No. 6)
One atom of each set of equivalent atoms:
Ta 0.000 0.000 0.000 [1 per cell]
Ta 0.260 0.500 0.707 [1 per cell]
Zn 0.627 0.500 0.217 [1 per cell]
Re 0.554 0.000 0.502 [1 per cell]

=====

Record 7
ZrTaRe | PBE-GGA | relaxed

## Properties
Crystal system   orthorhombic
DOS at the Fermi energy   0.648 states/eV/atom
Total energy   -11.2215 eV/atom
Relative energy among the computed polymorphs   60 meV per atom

a = 8.847 Å, b = 5.505 Å, c = 9.350 Å
α = 90.00°, β = 90.00°, γ = 90.00°
Space group Amm2 (No. 38)
One atom of each set of equivalent atoms:
Zr 0.181 0.000 0.000 [4 per cell]
Zr 0.303 0.000 0.666 [4 per cell]
Ta 0.241 0.000 0.331 [4 per cell]
Ta 0.500 0.246 0.921 [4 per cell]
Re 0.000 0.000 0.506 [2 per cell]
Re 0.000 0.242 0.748 [4 per cell]
Re 0.500 0.000 0.167 [2 per cell]

=====

Record 8
ZrTa2Re | PBE-GGA | relaxed

## Properties
Crystal system   orthorhombic
DOS at the Fermi energy   1.037 states/eV/atom
Total energy   -11.2069 eV/atom

a = 3.265 Å, b = 4.784 Å, c = 9.301 Å
α = 90.00°, β = 90.00°, γ = 90.00°
Space group Cmm2 (No. 35)
One atom of each set of equivalent atoms:
Zr 0.000 0.000 0.000 [2 per cell]
Ta 0.000 0.000 0.473 [2 per cell]
Ta 0.000 0.500 0.724 [2 per cell]
Re 0.000 0.500 0.245 [2 per cell]

=====

Record 9
ZrTaRe | PBE-GGA | relaxed

## Properties
Crystal system   orthorhombic
DOS at the Fermi energy   0.664 states/eV/atom
Total energy   -11.2817 eV/atom
Relative energy among the computed polymorphs   0 meV per atom

a = 5.362 Å, b = 5.574 Å, c = 7.612 Å
α = 90.00°, β = 90.00°, γ = 90.00°
Space group Imma (No. 74)
One atom of each set of equivalent atoms:
Zr 0.000 0.250 0.122 [4 per cell]
Ta 0.000 0.000 0.500 [4 per cell]
Re 0.250 0.250 0.750 [4 per cell]

=====

Record 10
ZrTa2Re | PBE-GGA | relaxed

## Properties
Crystal system   orthorhombic
DOS at the Fermi energy   1.453 states/eV/atom
Total energy   -11.2380 eV/atom

a = 3.312 Å, b = 4.656 Å, c = 4.683 Å
α = 90.00°, β = 90.00°, γ = 90.00°
Space group Pmmm (No. 47)
One atom of each set of equivalent atoms:
Zr 0.000 0.000 0.000 [1 per cell]
Ta 0.000 0.500 0.500 [1 per cell]
Ta 0.500 0.000 0.500 [1 per cell]
Re 0.500 0.500 0.000 [1 per cell]

=====

Record 11
ZrTa2Re | PBE-GGA | relaxed

## Properties
Crystal system   monoclinic
DOS at the Fermi energy   1.358 states/eV/atom
Total energy   -11.1963 eV/atom

a = 5.657 Å, b = 9.299 Å, c = 2.896 Å
α = 90.00°, β = 109.29°, γ = 90.00°
Space group C2/m (No. 12)
One atom of each set of equivalent atoms:
Zr 0.000 0.000 0.000 [2 per cell]
Ta 0.250 0.250 0.500 [4 per cell]
Re 0.000 0.500 0.000 [2 per cell]

=====

Record 12
ZrTaRe | PBE-GGA | relaxed

## Properties
Crystal system   trigonal
DOS at the Fermi energy   0.762 states/eV/atom
Total energy   -11.0685 eV/atom
Relative energy among the computed polymorphs   213 meV per atom

a = 4.5667 Å, b = 4.5667 Å, c = 3.0002 Å
α = 90.00°, β = 90.00°, γ = 120.00°
Space group P3m1 (No. 156)
One atom of each set of equivalent atoms:
Zr 0.0000 0.0000 0.0000 [1 per cell]
Ta 0.6667 0.3333 0.6210 [1 per cell]
Re 0.3333 0.6667 0.3286 [1 per cell]

=====

Record 13
ZrTa2Re | PBE-GGA | relaxed

## Properties
Crystal system   tetragonal
DOS at the Fermi energy   1.186 states/eV/atom
Total energy   -11.2942 eV/atom

a = 3.247 Å, b = 3.247 Å, c = 6.927 Å
α = 90.00°, β = 90.00°, γ = 90.00°
Space group P4mm (No. 99)
One atom of each set of equivalent atoms:
Zr 0.000 0.000 0.000 [1 per cell]
Ta 0.000 0.000 0.469 [1 per cell]
Ta 0.500 0.500 0.724 [1 per cell]
Re 0.500 0.500 0.251 [1 per cell]

=====

Record 14
ZrTa2Re | PBE-GGA | relaxed

## Properties
Crystal system   trigonal
DOS at the Fermi energy   1.051 states/eV/atom
Total energy   -11.0207 eV/atom

a = 3.0626 Å, b = 3.0626 Å, c = 27.7058 Å
α = 90.00°, β = 90.00°, γ = 120.00°
Space group R-3m (No. 166, hexagonal axes)
One atom of each set of equivalent atoms:
Zr 0.0000 0.0000 0.0000 [3 per cell]
Ta 0.0000 0.0000 0.2423 [6 per cell]
Re 0.0000 0.0000 0.5000 [3 per cell]

=====

Record 15
ZrTa2Re | PBE-GGA | relaxed

## Properties
Crystal system   tetragonal
DOS at the Fermi energy   0.948 states/eV/atom
Total energy   -11.0483 eV/atom

a = 3.911 Å, b = 3.911 Å, c = 9.648 Å
α = 90.00°, β = 90.00°, γ = 90.00°
Space group I4/mmm (No. 139)
One atom of each set of equivalent atoms:
Zr 0.000 0.000 0.000 [2 per cell]
Ta 0.000 0.500 0.250 [4 per cell]
Re 0.000 0.000 0.500 [2 per cell]

=====

Record 16
ZrTa2Re | PBE-GGA | relaxed

## Properties
Crystal system   orthorhombic
DOS at the Fermi energy   1.043 states/eV/atom
Total energy   -11.1988 eV/atom

a = 3.251 Å, b = 4.777 Å, c = 9.411 Å
α = 90.00°, β = 90.00°, γ = 90.00°
Space group Cmmm (No. 65)
One atom of each set of equivalent atoms:
Zr 0.000 0.000 0.000 [2 per cell]
Ta 0.000 0.500 0.273 [4 per cell]
Re 0.000 0.000 0.500 [2 per cell]

=====

Record 17
Zr2Ta2Re | PBE-GGA | relaxed

## Properties
Crystal system   tetragonal
DOS at the Fermi energy   0.977 states/eV/atom
Total energy   -10.4491 eV/atom
Relative energy among the computed polymorphs   0 meV per atom

a = 6.650 Å, b = 6.650 Å, c = 4.710 Å
α = 90.00°, β = 90.00°, γ = 90.00°
Space group P4/mbm (No. 127)
One atom of each set of equivalent atoms:
Zr 0.163 0.337 0.000 [4 per cell]
Ta 0.150 0.650 0.500 [4 per cell]
Re 0.000 0.000 0.500 [2 per cell]

=====

Record 18
ZrTa2Re | PBE-GGA | relaxed

## Properties
Crystal system   tetragonal
DOS at the Fermi energy   1.601 states/eV/atom
Total energy   -11.2158 eV/atom

a = 4.677 Å, b = 4.677 Å, c = 3.278 Å
α = 90.00°, β = 90.00°, γ = 90.00°
Space group P4/mmm (No. 123)
One atom of each set of equivalent atoms:
Zr 0.000 0.000 0.000 [1 per cell]
Ta 0.000 0.500 0.500 [2 per cell]
Re 0.500 0.500 0.000 [1 per cell]

=====

Record 19
ZrTa2Re | PBE-GGA | relaxed

## Properties
Crystal system   orthorhombic
DOS at the Fermi energy   0.831 states/eV/atom
Total energy   -11.3426 eV/atom

a = 3.254 Å, b = 4.718 Å, c = 9.514 Å
α = 90.00°, β = 90.00°, γ = 90.00°
Space group Immm (No. 71)
One atom of each set of equivalent atoms:
Zr 0.000 0.000 0.000 [2 per cell]
Ta 0.000 0.500 0.233 [4 per cell]
Re 0.000 0.000 0.500 [2 per cell]

=====

Record 20
ZrTa2Re | PBE-GGA | relaxed

## Properties
Crystal system   orthorhombic
DOS at the Fermi energy   0.974 states/eV/atom
Total energy   -11.2937 eV/atom

a = 3.258 Å, b = 4.713 Å, c = 9.453 Å
α = 90.00°, β = 90.00°, γ = 90.00°
Space group Imm2 (No. 44)
One atom of each set of equivalent atoms:
Zr 0.000 0.000 0.000 [2 per cell]
Ta 0.000 0.000 0.475 [2 per cell]
Ta 0.000 0.500 0.235 [2 per cell]
Re 0.000 0.500 0.746 [2 per cell]